[1]
5
Lattice="4.6874 0.0000 0.0000 0.0000 4.6874 0.0000 0.0000 0.0000 4.6812" Properties=species:S:1:pos:R:3 comment="GGA-PBE Hf2ZnCrH, optimized geometry" e_tot_ev_per_atom=-5.735 relative_energy_mev_per_atom=1206 volume_a3_per_fu=103 magmom_total_mub_per_cell=0.00 pbc="T T T"
Hf 0.0000 2.3437 0.0000
Hf 2.3437 0.0000 0.0000
Zn 0.0000 0.0000 2.3406
Cr 0.0000 0.0000 0.0000
H 2.3437 2.3437 2.3406

[2]
9
Lattice="5.0886 0.0000 0.0000 0.0000 5.0886 0.0000 0.0000 0.0000 10.6777" Properties=species:S:1:pos:R:3 comment="GGA-PBE Tb2YTmSe5, optimized geometry" e_tot_ev_per_atom=-5.351 e_form_raw_mev_per_atom=-1171.0 volume_a3_per_fu=276 magmom_total_mub_per_cell=0.01 pbc="T T T"
Tb 0.0000 0.0000 1.7494
Tb 0.0000 0.0000 8.9283
Y 2.5443 2.5443 5.3389
Tm 2.5443 2.5443 0.0000
Se 0.0000 0.0000 5.3389
Se 0.0000 2.5443 0.0000
Se 2.5443 0.0000 0.0000
Se 2.5443 2.5443 2.6964
Se 2.5443 2.5443 7.9813